Entry 1:
Entry from the Alexandria database: a relaxed CaRe2W crystal (PBE).

Geometry as POSCAR:
```
CaRe2W
1.0
3.2025 0.0000 0.0000
0.0000 3.2025 0.0000
0.0000 0.0000 7.2093
Ca Re W
1 2 1
Cartesian
0.0000 0.0000 0.0000
1.6012 1.6012 2.1825
1.6012 1.6012 5.0269
0.0000 0.0000 3.6047
```

Results
Its final energy is -9.4950 eV/atom. The value obtained for the magnetic moment is 0.00 μB per atom. The calculation puts the offset from the most stable computed form at 0 meV/atom. The energy of formation comes out at 468 meV/atom.


Entry 2:
Entry from the Alexandria database: a relaxed CaRe4W crystal (PBE).

Geometry as POSCAR:
```
CaRe4W
1.0
0.0000 3.7216 3.7216
3.7216 0.0000 3.7216
3.7216 3.7216 0.0000
Ca Re W
1 4 1
Cartesian
0.0000 0.0000 0.0000
4.6522 2.7911 2.7911
2.7911 4.6522 2.7911
2.7911 2.7911 4.6522
4.6522 4.6522 4.6522
1.8608 1.8608 1.8608
```

Results
Its final energy is -10.4389 eV/atom. The value obtained for the magnetic moment is 0.00 μB per atom. The energy of formation comes out at 352 meV/atom.


Entry 3:
Entry from the Alexandria database: a relaxed CaRe2W crystal (PBE).

Geometry as POSCAR:
```
CaRe2W
1.0
2.8840 -4.6081 0.0000
2.8840 4.6081 0.0000
-0.8939 0.0000 2.5402
Ca Re W
1 2 1
Cartesian
0.0000 0.0000 0.0000
0.9950 2.3041 1.2701
0.9950 -2.3041 1.2701
2.8840 0.0000 0.0000
```

Results
Its final energy is -9.3234 eV/atom. The value obtained for the magnetic moment is 0.00 μB per atom. The calculation puts the offset from the most stable computed form at 172 meV/atom. The energy of formation comes out at 639 meV/atom.


Entry 4:
Entry from the Alexandria database: a relaxed CaReW crystal (PBE).

Geometry as POSCAR:
```
CaReW
1.0
4.7460 0.0000 0.0000
-2.3730 4.1101 0.0000
0.0000 0.0000 2.7638
Ca Re W
1 1 1
Cartesian
0.0000 0.0000 0.0000
0.0000 2.7401 1.0497
2.3730 1.3700 1.7273
```

Results
Its final energy is -8.4190 eV/atom. The value obtained for the magnetic moment is 0.00 μB per atom. The calculation puts the offset from the most stable computed form at 223 meV/atom. The energy of formation comes out at 715 meV/atom.


Entry 5:
Entry from the Alexandria database: a relaxed CaReW crystal (PBE).

Geometry as POSCAR:
```
CaReW
1.0
0.0000 2.3241 7.3975
1.6166 0.0000 7.3975
1.6166 2.3241 0.0000
Ca Re W
1 1 1
Cartesian
0.0000 0.0000 0.0000
1.6166 2.3241 4.7984
1.6166 2.3241 10.1368
```

Results
Its final energy is -8.4679 eV/atom. The value obtained for the magnetic moment is 0.00 μB per atom. The calculation puts the offset from the most stable computed form at 174 meV/atom. The energy of formation comes out at 666 meV/atom.


Entry 6:
Entry from the Alexandria database: a relaxed CaRe2W crystal (PBE).

Geometry as POSCAR:
```
CaRe2W
1.0
1.4490 0.8366 9.5655
-1.4490 0.8366 9.5655
0.0000 -1.6732 9.5655
Ca Re W
1 2 1
Cartesian
0.0000 0.0000 0.0000
0.0000 0.0000 6.9439
0.0000 0.0000 21.7527
0.0000 0.0000 14.3483
```

Results
Its final energy is -9.3459 eV/atom. The value obtained for the magnetic moment is 0.00 μB per atom. The calculation puts the offset from the most stable computed form at 149 meV/atom. The energy of formation comes out at 617 meV/atom.


Entry 7:
Entry from the Alexandria database: a relaxed CaRe2W crystal (PBE).

Geometry as POSCAR:
```
CaRe2W
1.0
1.5984 -2.2610 0.0000
1.5984 2.2610 0.0000
0.0000 0.0000 9.5572
Ca Re W
1 2 1
Cartesian
0.0000 0.0000 0.0000
1.5984 0.0000 2.6124
1.5984 0.0000 6.9448
0.0000 0.0000 4.7786
```

Results
Its final energy is -9.4942 eV/atom. The value obtained for the magnetic moment is 0.00 μB per atom. The calculation puts the offset from the most stable computed form at 1 meV/atom. The energy of formation comes out at 469 meV/atom.


Entry 8:
Entry from the Alexandria database: a relaxed CaRe2W crystal (PBE).

Geometry as POSCAR:
```
CaRe2W
1.0
0.0000 3.2301 3.2301
3.2301 0.0000 3.2301
3.2301 3.2301 0.0000
Ca Re W
1 2 1
Cartesian
0.0000 0.0000 0.0000
1.6150 1.6150 1.6150
4.8451 4.8451 4.8451
3.2301 3.2301 3.2301
```

Results
Its final energy is -9.3368 eV/atom. The value obtained for the magnetic moment is 0.00 μB per atom. The calculation puts the offset from the most stable computed form at 158 meV/atom. The energy of formation comes out at 626 meV/atom.


Entry 9:
Entry from the Alexandria database: a relaxed CaRe2W crystal (PBE).

Geometry as POSCAR:
```
CaRe2W
1.0
2.7116 0.0000 0.0000
0.0000 4.6502 0.0000
-0.8619 0.0000 5.3848
Ca Re W
1 2 1
Cartesian
0.0000 0.0000 0.0000
0.9202 0.0000 2.6857
1.7336 2.3251 1.3424
0.0877 2.3251 3.9514
```

Results
Its final energy is -9.3440 eV/atom. The value obtained for the magnetic moment is 0.00 μB per atom. The calculation puts the offset from the most stable computed form at 151 meV/atom. The energy of formation comes out at 619 meV/atom.


Entry 10:
Entry from the Alexandria database: a relaxed CaRe2W crystal (PBE).

Geometry as POSCAR:
```
CaRe2W
1.0
1.4294 0.8253 9.8287
-1.4294 0.8253 9.8287
0.0000 -1.6506 9.8287
Ca Re W
1 2 1
Cartesian
0.0000 0.0000 0.0000
0.0000 0.0000 14.6020
0.0000 0.0000 22.3093
0.0000 0.0000 7.0674
```

Results
Its final energy is -9.3574 eV/atom. The value obtained for the magnetic moment is 0.00 μB per atom. The calculation puts the offset from the most stable computed form at 138 meV/atom. The energy of formation comes out at 605 meV/atom.


Entry 11:
Entry from the Alexandria database: a relaxed CaReW crystal (PBE).

Geometry as POSCAR:
```
CaReW
1.0
-1.3358 2.4962 4.1385
1.3358 -2.4962 4.1385
1.3358 2.4962 -4.1385
Ca Re W
1 1 1
Cartesian
0.0000 0.0000 0.0000
0.0000 0.0000 5.4241
0.0000 0.0000 2.8493
```

Results
Its final energy is -8.2750 eV/atom. The value obtained for the magnetic moment is 0.00 μB per atom. The calculation puts the offset from the most stable computed form at 367 meV/atom. The energy of formation comes out at 859 meV/atom.


Entry 12:
Entry from the Alexandria database: a relaxed CaRe2W crystal (PBE).

Geometry as POSCAR:
```
CaRe2W
1.0
3.0877 0.0000 0.0000
0.0000 4.6258 0.0000
0.0000 0.0000 4.7296
Ca Re W
1 2 1
Cartesian
0.0000 0.0000 0.0000
0.0000 2.3129 2.3648
1.5438 2.3129 0.0000
1.5438 0.0000 2.3648
```

Results
Its final energy is -9.1159 eV/atom. The value obtained for the magnetic moment is 0.00 μB per atom. The calculation puts the offset from the most stable computed form at 379 meV/atom. The energy of formation comes out at 847 meV/atom.


Which of these has the highest final energy? number 11


Repeat the fifth record exactly.
Entry from the Alexandria database: a relaxed CaReW crystal (PBE).

Geometry as POSCAR:
```
CaReW
1.0
0.0000 2.3241 7.3975
1.6166 0.0000 7.3975
1.6166 2.3241 0.0000
Ca Re W
1 1 1
Cartesian
0.0000 0.0000 0.0000
1.6166 2.3241 4.7984
1.6166 2.3241 10.1368
```

Results
Its final energy is -8.4679 eV/atom. The value obtained for the magnetic moment is 0.00 μB per atom. The calculation puts the offset from the most stable computed form at 174 meV/atom. The energy of formation comes out at 666 meV/atom.